Here is an optimized crystal structure of YReTeO2 from Alexandria via LeMat-Bulk. Energies are from GGA-PBE.

Results
Uncorrected formation energy ... -1.065 eV/atom
E_tot ... -7.459 eV/atom
Size of the total moment ... 0.0 μB per cell
Space-group type ... P4/mmm

a b c (Å): 3.9466 3.9466 6.3603
angles (deg): 90.00 90.00 90.00
With the nearest neighbours (Å) after each atom.
Positions (direct):
Y  0.0000  0.0000  0.5000  4 Te 2.79
O  0.0000  0.5000  0.0000  2 Re 1.97
O  0.5000  0.0000  0.0000  2 Re 1.97
Re  0.0000  0.0000  0.0000  4 O 1.97
Te  0.5000  0.5000  0.5000  4 Y 2.79